The following is a PBE calculation of a relaxed Hg2OsPb crystal, from Alexandria.

It has space group Imm2 (No. 44), with a = 3.0066 Å, b = 4.7399 Å, c = 13.6582 Å, α = 90.00°, β = 90.00° and γ = 90.00°. The inequivalent atoms are Hg at (0.0000, 0.0000, 0.0000), Hg at (0.0000, 0.5000, 0.1720), Os at (0.0000, 0.0000, 0.4944) and Pb at (0.0000, 0.5000, 0.8145).

The calculated density is 13.6 g cm⁻³. Its total energy is -3.33 eV per atom.

The following is a PBE calculation of a relaxed RbNiC2N2Cl crystal, from Alexandria.

It has space group I4/mmm (No. 139), with a = 7.0783 Å, b = 7.0783 Å, c = 11.1827 Å, α = 90.00°, β = 90.00° and γ = 90.00°. The inequivalent atoms are Rb at (0.0000, 0.5000, 0.2500), Ni at (0.0000, 0.0000, 0.0000), Ni at (0.0000, 0.0000, 0.5000), C at (0.1831, 0.1831, 0.0000), N at (0.1997, 0.1997, 0.5000) and Cl at (0.0000, 0.0000, 0.2757).

For the energy relative to the elements, uncorrected, the calculation gives -0.29 eV per atom. The calculated density is 2.7 g cm⁻³.

The following is a PBE calculation of a relaxed DyThRe crystal, from Alexandria.

It has space group I4mm (No. 107), with a = 3.4781 Å, b = 3.4781 Å, c = 13.3054 Å, α = 90.00°, β = 90.00° and γ = 90.00°. The inequivalent atoms are Dy at (0.0000, 0.0000, 0.0000), Th at (0.0000, 0.0000, 0.2562) and Re at (0.0000, 0.0000, 0.6312).

The calculated density is 12.0 g cm⁻³. Its total energy is -8.09 eV per atom.

The following is a PBE calculation of a relaxed NaIn2Re crystal, from Alexandria.

It has space group Fm-3m (No. 225), with a = 6.7863 Å, b = 6.7863 Å, c = 6.7863 Å, α = 90.00°, β = 90.00° and γ = 90.00°. The inequivalent atoms are Na at (0.0000, 0.0000, 0.0000), In at (0.2500, 0.2500, 0.2500) and Re at (0.0000, 0.0000, 0.5000).

The calculated density is 9.3 g cm⁻³. Its total energy is -4.28 eV per atom.

The following is a PBE calculation of a relaxed Sm2CdIr crystal, from Alexandria.

It has space group P4/mmm (No. 123), with a = 3.5912 Å, b = 3.5912 Å, c = 7.6783 Å, α = 90.00°, β = 90.00° and γ = 90.00°. The inequivalent atoms are Sm at (0.0000, 0.0000, 0.2160), Cd at (0.5000, 0.5000, 0.5000) and Ir at (0.5000, 0.5000, 0.0000).

The calculated density is 10.2 g cm⁻³. Its total energy is -5.33 eV per atom.

The following is a PBE calculation of a relaxed GdScPd crystal, from Alexandria.

It has space group I4mm (No. 107), with a = 3.4740 Å, b = 3.4740 Å, c = 11.4317 Å, α = 90.00°, β = 90.00° and γ = 90.00°. The inequivalent atoms are Gd at (0.0000, 0.0000, 0.0000), Sc at (0.0000, 0.0000, 0.2889) and Pd at (0.0000, 0.0000, 0.6670).

The calculated density is 7.4 g cm⁻³. Its total energy is -9.07 eV per atom.